VASP calculation (SCAN) on YFe3Ag at its PBEsol-relaxed geometry.

a b c (Å): 4.6493 4.6493 4.6493
angles (deg): 90.00 90.00 90.00
Last column: nearest neighbours and their distance in Å.
Space group Pm-3m (No. 221)
Asymmetric unit:
Y  0.0000  0.0000  0.0000 (multiplicity 1)  12 Fe 3.29
Fe  0.0000  0.5000  0.5000 (multiplicity 3)  2 Ag 2.32
Ag  0.5000  0.5000  0.5000 (multiplicity 1)  6 Fe 2.32

ΔE_f = 861 meV/atom
total energy = -109.29 eV per cell